Below is PuHgPb after structural relaxation, with properties calculated at the PBE-GGA level.

Summary:
Calculated volume, Å³/atom: 30.934
Relative energy among the computed polymorphs, eV per formula unit: 0.00
Symmetry: F-43m (216)

Cell and atoms, written as extended XYZ:
```
3
Lattice="0.000 3.593 3.593 3.593 0.000 3.593 3.593 3.593 0.000" Properties=species:S:1:pos:R:3 pbc="T T T"
Pu 0.000 0.000 0.000
Hg 5.390 5.390 5.390
Pb 3.593 3.593 3.593
```